An optimized crystal structure of CoSbPbI2, computed with PBE-GGA.

a b c (Å): 6.156 6.156 6.104
angles (deg): 90.00 90.00 90.00
Element x y z (fractional)
1 Co 0.000 0.000 0.000
2 Sb 0.500 0.500 0.000
3 Pb 0.500 0.500 0.500
4 I 0.000 0.500 0.500
5 I 0.500 0.000 0.500

Properties
Theoretical density, g/cm3: 4.61
E above lowest polymorph, eV per atom: 0.791
Space group: P4/mmm, No. 123
VASP energy, eV per atom: -2.569
E_form (uncorrected), eV/atom: 1.04